A.
The following is a DFT calculation (PBE) of a relaxed Be4Ag3 crystal.

Lattice parameters (Å, degrees): 5.251 5.251 4.176 90.00 90.00 120.00
Atoms (fractional coordinates):
Be (0.000, 0.000, 0.248)
Be (0.000, 0.000, 0.752)
Be (0.333, 0.667, 0.000)
Be (0.667, 0.333, 0.000)
Ag (0.000, 0.500, 0.500)
Ag (0.500, 0.000, 0.500)
Ag (0.500, 0.500, 0.500)

## Properties
For the total moment, the calculation gives 0.00 μB/f.u.

***

B.
The following is a DFT calculation (PBE) of a relaxed Be4Ag3 crystal.

Lattice parameters (Å, degrees): 4.751 4.751 4.751 90.00 90.00 90.00
Atoms (fractional coordinates):
Be (0.000, 0.000, 0.000)
Be (0.000, 0.500, 0.500)
Be (0.500, 0.000, 0.500)
Be (0.500, 0.500, 0.000)
Ag (0.000, 0.000, 0.500)
Ag (0.000, 0.500, 0.000)
Ag (0.500, 0.000, 0.000)

## Properties
For the total moment, the calculation gives 0.00 μB/f.u.

***

C.
The following is a DFT calculation (PBE) of a relaxed Be4Ag3 crystal.

Lattice parameters (Å, degrees): 10.604 10.604 10.604 164.48 164.48 22.02
Atoms (fractional coordinates):
Be (0.074, 0.074, 0.000)
Be (0.375, 0.375, 0.000)
Be (0.625, 0.625, 0.000)
Be (0.926, 0.926, 0.000)
Ag (0.197, 0.197, 0.000)
Ag (0.500, 0.500, 0.000)
Ag (0.803, 0.803, 0.000)

## Properties
For the total moment, the calculation gives 0.00 μB/f.u.

***

D.
The following is a DFT calculation (PBE) of a relaxed Be4Ag3 crystal.

Lattice parameters (Å, degrees): 4.641 4.641 4.641 90.00 90.00 90.00
Atoms (fractional coordinates):
Be (0.160, 0.160, 0.840)
Be (0.160, 0.840, 0.160)
Be (0.840, 0.160, 0.160)
Be (0.840, 0.840, 0.840)
Ag (0.000, 0.500, 0.500)
Ag (0.500, 0.000, 0.500)
Ag (0.500, 0.500, 0.000)

## Properties
For the total moment, the calculation gives 0.00 μB/f.u.

***

Of them, the most stable is C and the least stable is B.

***

A.
The following is a DFT calculation (PBE) of a relaxed BeAg5 crystal.

Lattice parameters (Å, degrees): 6.305 6.305 4.226 90.00 90.00 143.68
Atoms (fractional coordinates):
Be (0.000, 0.000, 0.000)
Ag (0.164, 0.836, 0.500)
Ag (0.344, 0.656, 0.000)
Ag (0.500, 0.500, 0.500)
Ag (0.656, 0.344, 0.000)
Ag (0.836, 0.164, 0.500)

## Properties
For the total moment, the calculation gives 0.00 μB/f.u.

***

B.
The following is a DFT calculation (PBE) of a relaxed BeAg5 crystal.

Lattice parameters (Å, degrees): 5.187 5.187 7.095 110.62 110.62 33.55
Atoms (fractional coordinates):
Be (0.000, 0.000, 0.000)
Ag (0.000, 0.000, 0.500)
Ag (0.325, 0.325, 0.696)
Ag (0.364, 0.364, 0.138)
Ag (0.636, 0.636, 0.862)
Ag (0.675, 0.675, 0.304)

## Properties
For the total moment, the calculation gives 0.00 μB/f.u.

***

C.
The following is a DFT calculation (PBE) of a relaxed BeAg5 crystal.

Lattice parameters (Å, degrees): 4.998 4.998 4.594 90.00 90.00 120.00
Atoms (fractional coordinates):
Be (0.000, 0.000, 0.000)
Ag (0.000, 0.680, 0.500)
Ag (0.320, 0.320, 0.500)
Ag (0.333, 0.667, 0.000)
Ag (0.667, 0.333, 0.000)
Ag (0.680, 0.000, 0.500)

## Properties
For the total moment, the calculation gives 0.00 μB/f.u.

***

Of them, the most stable is B and the least stable is C.

***

A.
The following is a DFT calculation (PBE) of a relaxed Be2Ag3 crystal.

Lattice parameters (Å, degrees): 6.730 5.242 7.790 58.34 41.52 80.14
Atoms (fractional coordinates):
Be (0.267, 0.733, 0.325)
Be (0.575, 0.925, 0.517)
Be (0.733, 0.267, 0.675)
Be (0.925, 0.575, 0.983)
Ag (0.113, 0.794, 0.098)
Ag (0.152, 0.256, 0.137)
Ag (0.256, 0.152, 0.456)
Ag (0.458, 0.458, 0.542)
Ag (0.708, 0.708, 0.792)
Ag (0.794, 0.113, 0.994)

## Properties
For the total moment, the calculation gives 0.00 μB/f.u.

***

B.
The following is a DFT calculation (PBE) of a relaxed Be2Ag3 crystal.

Lattice parameters (Å, degrees): 10.452 10.452 10.452 15.65 15.65 15.65
Atoms (fractional coordinates):
Be (0.102, 0.102, 0.102)
Be (0.898, 0.898, 0.898)
Ag (0.293, 0.293, 0.293)
Ag (0.500, 0.500, 0.500)
Ag (0.707, 0.707, 0.707)

## Properties
For the total moment, the calculation gives 0.00 μB/f.u.

***

C.
The following is a DFT calculation (PBE) of a relaxed Be2Ag3 crystal.

Lattice parameters (Å, degrees): 4.112 4.112 5.075 90.00 90.00 120.00
Atoms (fractional coordinates):
Be (0.333, 0.667, 0.357)
Be (0.667, 0.333, 0.643)
Ag (0.000, 0.000, 0.500)
Ag (0.333, 0.667, 0.845)
Ag (0.667, 0.333, 0.155)

## Properties
For the total moment, the calculation gives 0.00 μB/f.u.

***

Of them, the most stable is A and the least stable is B.

***

A.
The following is a DFT calculation (PBE) of a relaxed Be3Ag4 crystal.

Lattice parameters (Å, degrees): 4.767 4.767 4.767 90.00 90.00 90.00
Atoms (fractional coordinates):
Be (0.000, 0.000, 0.500)
Be (0.000, 0.500, 0.000)
Be (0.500, 0.000, 0.000)
Ag (0.000, 0.000, 0.000)
Ag (0.000, 0.500, 0.500)
Ag (0.500, 0.000, 0.500)
Ag (0.500, 0.500, 0.000)

## Properties
For the total moment, the calculation gives 0.00 μB/f.u.

***

B.
The following is a DFT calculation (PBE) of a relaxed Be3Ag4 crystal.

Lattice parameters (Å, degrees): 4.631 4.631 5.279 90.00 90.00 120.00
Atoms (fractional coordinates):
Be (0.000, 0.500, 0.000)
Be (0.500, 0.000, 0.000)
Be (0.500, 0.500, 0.000)
Ag (0.000, 0.000, 0.247)
Ag (0.000, 0.000, 0.753)
Ag (0.333, 0.667, 0.500)
Ag (0.667, 0.333, 0.500)

## Properties
For the total moment, the calculation gives 0.00 μB/f.u.

***

Of them, the most stable is B and the least stable is A.

***

A.
The following is a DFT calculation (PBE) of a relaxed Be3Ag4 crystal.

Lattice parameters (Å, degrees): 11.456 11.456 11.456 165.44 165.44 20.65
Atoms (fractional coordinates):
Be (0.000, 0.000, 0.000)
Be (0.273, 0.273, 0.000)
Be (0.727, 0.727, 0.000)
Ag (0.161, 0.161, 0.000)
Ag (0.435, 0.435, 0.000)
Ag (0.565, 0.565, 0.000)
Ag (0.839, 0.839, 0.000)

## Properties
For the total moment, the calculation gives 0.00 μB/f.u.

***

B.
The following is a DFT calculation (PBE) of a relaxed Be3Ag4 crystal.

Lattice parameters (Å, degrees): 4.969 4.969 4.969 90.00 90.00 90.00
Atoms (fractional coordinates):
Be (0.000, 0.000, 0.500)
Be (0.000, 0.500, 0.000)
Be (0.500, 0.000, 0.000)
Ag (0.296, 0.296, 0.296)
Ag (0.296, 0.704, 0.704)
Ag (0.704, 0.296, 0.704)
Ag (0.704, 0.704, 0.296)

## Properties
For the total moment, the calculation gives 0.00 μB/f.u.

***

Of them, the most stable is A and the least stable is B.

***

A.
The following is a DFT calculation (PBE) of a relaxed Be4Ag5 crystal.

Lattice parameters (Å, degrees): 5.968 5.968 5.968 96.56 96.56 140.50
Atoms (fractional coordinates):
Be (0.000, 0.364, 0.364)
Be (0.000, 0.636, 0.636)
Be (0.364, 0.000, 0.364)
Be (0.636, 0.000, 0.636)
Ag (0.000, 0.000, 0.000)
Ag (0.326, 0.326, 0.652)
Ag (0.326, 0.674, 0.000)
Ag (0.674, 0.326, 0.000)
Ag (0.674, 0.674, 0.348)

## Properties
For the total moment, the calculation gives 0.00 μB/f.u.

***

B.
The following is a DFT calculation (PBE) of a relaxed Be4Ag5 crystal.

Lattice parameters (Å, degrees): 7.285 7.285 5.314 90.00 90.00 120.00
Atoms (fractional coordinates):
Be (0.000, 0.000, 0.000)
Be (0.000, 0.000, 0.500)
Be (0.000, 0.378, 0.250)
Be (0.000, 0.622, 0.750)
Be (0.378, 0.000, 0.250)
Be (0.378, 0.378, 0.750)
Be (0.622, 0.000, 0.750)
Be (0.622, 0.622, 0.250)
Ag (0.000, 0.281, 0.750)
Ag (0.000, 0.719, 0.250)
Ag (0.281, 0.000, 0.750)
Ag (0.281, 0.281, 0.250)
Ag (0.333, 0.667, 0.000)
Ag (0.333, 0.667, 0.500)
Ag (0.667, 0.333, 0.000)
Ag (0.667, 0.333, 0.500)
Ag (0.719, 0.000, 0.250)
Ag (0.719, 0.719, 0.750)

## Properties
For the total moment, the calculation gives 0.00 μB/f.u.

***

Of them, the most stable is B and the least stable is A.